Entry 1:
Material: NpPa2Sb
Method: DFT, GGA-PBE
State: optimized geometry

Geometry as CIF:
```
data_NpPa2Sb
_space_group_name_H-M_alt 'P 4/m m m'
_space_group_IT_number 123
_space_group_name_Hall '-P 4 2'
_cell_length_a 4.607
_cell_length_b 4.607
_cell_length_c 4.483
_cell_angle_alpha 90.00
_cell_angle_beta 90.00
_cell_angle_gamma 90.00
loop_
_atom_site_label
_atom_site_fract_x
_atom_site_fract_y
_atom_site_fract_z
Np1 0.000 0.000 0.000
Pa1 0.000 0.500 0.500
Sb1 0.500 0.500 0.000
```

Output
For the formation energy without anion corrections, the calculation gives -0.187 eV per atom.

Entry 2:
Material: NpPaSb2
Method: DFT, GGA-PBE
State: optimized geometry

Geometry as CIF:
```
data_NpPaSb2
_space_group_name_H-M_alt 'P 4/m m m'
_space_group_IT_number 123
_space_group_name_Hall '-P 4 2'
_cell_length_a 3.723
_cell_length_b 3.723
_cell_length_c 7.524
_cell_angle_alpha 90.00
_cell_angle_beta 90.00
_cell_angle_gamma 90.00
loop_
_atom_site_label
_atom_site_fract_x
_atom_site_fract_y
_atom_site_fract_z
Np1 0.000 0.000 0.000
Pa1 0.000 0.000 0.500
Sb1 0.500 0.500 0.253
```

Output
For the formation energy without anion corrections, the calculation gives -0.318 eV per atom.

Entry 3:
Material: NpPaSb3
Method: DFT, GGA-PBE
State: optimized geometry

Geometry as CIF:
```
data_NpPaSb3
_space_group_name_H-M_alt 'P b c m'
_space_group_IT_number 57
_cell_length_a 13.973
_cell_length_b 6.048
_cell_length_c 6.310
_cell_angle_alpha 90.00
_cell_angle_beta 90.00
_cell_angle_gamma 90.00
loop_
_space_group_symop_operation_xyz
'x,y,z'
'-x,-y,-z'
'-x,-y,z+1/2'
'x,y,-z+1/2'
'x,-y+1/2,-z'
'-x,y+1/2,z'
'-x,y+1/2,-z+1/2'
'x,-y+1/2,z+1/2'
loop_
_atom_site_label
_atom_site_fract_x
_atom_site_fract_y
_atom_site_fract_z
Np1 0.174 0.018 0.250
Pa1 0.398 0.750 0.000
Sb1 0.003 0.750 0.000
Sb2 0.222 0.520 0.250
Sb3 0.403 0.221 0.250
```

Output
For the formation energy without anion corrections, the calculation gives -0.264 eV per atom.

Entry 4:
Material: NpPaSb2
Method: DFT, GGA-PBE
State: optimized geometry

Geometry as CIF:
```
data_NpPaSb2
_space_group_name_H-M_alt 'R 3 m'
_space_group_IT_number 160
_space_group_name_Hall 'R 3 -2"'
_cell_length_a 4.2287
_cell_length_b 4.2287
_cell_length_c 23.4698
_cell_angle_alpha 90.00
_cell_angle_beta 90.00
_cell_angle_gamma 120.00
loop_
_atom_site_label
_atom_site_fract_x
_atom_site_fract_y
_atom_site_fract_z
Np1 0.0000 0.0000 0.0000
Pa1 0.0000 0.0000 0.1690
Sb1 0.0000 0.0000 0.4177
Sb2 0.0000 0.0000 0.5855
```

Output
For the formation energy without anion corrections, the calculation gives -0.220 eV per atom.

Entry 5:
Material: NpPa2Sb
Method: DFT, GGA-PBE
State: optimized geometry

Geometry as CIF:
```
data_NpPa2Sb
_space_group_name_H-M_alt 'F m -3 m'
_space_group_IT_number 225
_space_group_name_Hall '-F 4 2 3'
_cell_length_a 7.336
_cell_length_b 7.336
_cell_length_c 7.336
_cell_angle_alpha 90.00
_cell_angle_beta 90.00
_cell_angle_gamma 90.00
loop_
_atom_site_label
_atom_site_fract_x
_atom_site_fract_y
_atom_site_fract_z
Np1 0.000 0.000 0.000
Pa1 0.250 0.250 0.250
Sb1 0.000 0.000 0.500
```

Output
For the formation energy without anion corrections, the calculation gives 0.064 eV per atom.

Entry 6:
Material: Np2PaSb
Method: DFT, GGA-PBE
State: optimized geometry

Geometry as CIF:
```
data_Np2PaSb
_space_group_name_H-M_alt 'F m -3 m'
_space_group_IT_number 225
_space_group_name_Hall '-F 4 2 3'
_cell_length_a 7.290
_cell_length_b 7.290
_cell_length_c 7.290
_cell_angle_alpha 90.00
_cell_angle_beta 90.00
_cell_angle_gamma 90.00
loop_
_atom_site_label
_atom_site_fract_x
_atom_site_fract_y
_atom_site_fract_z
Np1 0.250 0.250 0.250
Pa1 0.000 0.000 0.000
Sb1 0.000 0.000 0.500
```

Output
For the formation energy without anion corrections, the calculation gives 0.247 eV per atom.

Entry 7:
Material: NpPa2Sb3
Method: DFT, GGA-PBE
State: optimized geometry

Geometry as CIF:
```
data_NpPa2Sb3
_space_group_name_H-M_alt 'I m m m'
_space_group_IT_number 71
_space_group_name_Hall '-I 2 2'
_cell_length_a 5.290
_cell_length_b 7.495
_cell_length_c 15.857
_cell_angle_alpha 90.00
_cell_angle_beta 90.00
_cell_angle_gamma 90.00
loop_
_atom_site_label
_atom_site_fract_x
_atom_site_fract_y
_atom_site_fract_z
Np1 0.000 0.000 0.166
Pa1 0.000 0.000 0.500
Pa2 0.000 0.500 0.173
Pa3 0.000 0.500 0.500
Sb1 0.000 0.247 0.335
Sb2 0.000 0.256 0.000
```

Output
For the formation energy without anion corrections, the calculation gives -0.352 eV per atom.

Entry 8:
Material: SmNp2PaSb4
Method: DFT, GGA-PBE
State: optimized geometry

Geometry as CIF:
```
data_SmNp2PaSb4
_space_group_name_H-M_alt 'P 1 2/m 1'
_space_group_IT_number 10
_cell_length_a 7.606
_cell_length_b 4.416
_cell_length_c 7.660
_cell_angle_alpha 90.00
_cell_angle_beta 109.54
_cell_angle_gamma 90.00
loop_
_space_group_symop_operation_xyz
'x,y,z'
'-x,-y,-z'
'-x,y,-z'
'x,-y,z'
loop_
_atom_site_label
_atom_site_fract_x
_atom_site_fract_y
_atom_site_fract_z
Sm1 0.000 0.000 0.000
Np1 0.500 0.000 0.500
Np2 0.500 0.500 0.000
Pa1 0.000 0.500 0.500
Sb1 0.249 0.000 0.747
Sb2 0.252 0.500 0.254
```

Output
For the formation energy without anion corrections, the calculation gives -0.511 eV per atom.

Entry 9:
Material: NpPaSnSb
Method: DFT, GGA-PBE
State: optimized geometry

Geometry as CIF:
```
data_NpPaSnSb
_space_group_name_H-M_alt 'F -4 3 m'
_space_group_IT_number 216
_space_group_name_Hall 'F -4 2 3'
_cell_length_a 7.486
_cell_length_b 7.486
_cell_length_c 7.486
_cell_angle_alpha 90.00
_cell_angle_beta 90.00
_cell_angle_gamma 90.00
loop_
_atom_site_label
_atom_site_fract_x
_atom_site_fract_y
_atom_site_fract_z
Np1 0.000 0.000 0.000
Pa1 0.000 0.000 0.500
Sn1 0.250 0.250 0.750
Sb1 0.250 0.250 0.250
```

Output
For the formation energy without anion corrections, the calculation gives -0.092 eV per atom.

Entry 10:
Material: NpPaTaSb
Method: DFT, GGA-PBE
State: optimized geometry

Geometry as CIF:
```
data_NpPaTaSb
_space_group_name_H-M_alt 'F -4 3 m'
_space_group_IT_number 216
_space_group_name_Hall 'F -4 2 3'
_cell_length_a 7.257
_cell_length_b 7.257
_cell_length_c 7.257
_cell_angle_alpha 90.00
_cell_angle_beta 90.00
_cell_angle_gamma 90.00
loop_
_atom_site_label
_atom_site_fract_x
_atom_site_fract_y
_atom_site_fract_z
Np1 0.000 0.000 0.000
Pa1 0.000 0.000 0.500
Ta1 0.250 0.250 0.250
Sb1 0.250 0.250 0.750
```

Output
For the formation energy without anion corrections, the calculation gives 0.349 eV per atom.

Entry 11:
Material: Tb2NpPaSb4
Method: DFT, GGA-PBE
State: optimized geometry

Geometry as CIF:
```
data_Tb2NpPaSb4
_space_group_name_H-M_alt 'P 1 2/m 1'
_space_group_IT_number 10
_cell_length_a 7.579
_cell_length_b 4.384
_cell_length_c 7.644
_cell_angle_alpha 90.00
_cell_angle_beta 109.36
_cell_angle_gamma 90.00
loop_
_space_group_symop_operation_xyz
'x,y,z'
'-x,-y,-z'
'-x,y,-z'
'x,-y,z'
loop_
_atom_site_label
_atom_site_fract_x
_atom_site_fract_y
_atom_site_fract_z
Tb1 0.000 0.000 0.000
Tb2 0.500 0.500 0.000
Np1 0.000 0.500 0.500
Pa1 0.500 0.000 0.500
Sb1 0.251 0.000 0.750
Sb2 0.252 0.500 0.250
```

Output
For the formation energy without anion corrections, the calculation gives -0.738 eV per atom.

Entry 12:
Material: TbNp2PaSb4
Method: DFT, GGA-PBE
State: optimized geometry

Geometry as CIF:
```
data_TbNp2PaSb4
_space_group_name_H-M_alt 'P 1 2/m 1'
_space_group_IT_number 10
_cell_length_a 7.585
_cell_length_b 4.400
_cell_length_c 7.623
_cell_angle_alpha 90.00
_cell_angle_beta 109.52
_cell_angle_gamma 90.00
loop_
_space_group_symop_operation_xyz
'x,y,z'
'-x,-y,-z'
'-x,y,-z'
'x,-y,z'
loop_
_atom_site_label
_atom_site_fract_x
_atom_site_fract_y
_atom_site_fract_z
Tb1 0.000 0.000 0.000
Np1 0.500 0.000 0.500
Np2 0.500 0.500 0.000
Pa1 0.000 0.500 0.500
Sb1 0.248 0.000 0.749
Sb2 0.249 0.500 0.251
```

Output
For the formation energy without anion corrections, the calculation gives -0.505 eV per atom.

One value per record, in order, for raw total energy: -36.80 -31.95 -144.49 -94.69 -143.20 -154.05 -185.65 -60.67 -123.72 -148.06 -54.09 -60.54 eV per cell.